1.
# GGA-PBE ErCdNi, optimized geometry
data_ErCdNi
_chemical_formula_sum 'Er4 Cd4 Ni4'
_symmetry_space_group_name_H-M 'P 1'
_symmetry_Int_Tables_number 1
_symmetry_space_group_name_Hall 'P 1'
_cell_length_a 6.3903
_cell_length_b 6.3903
_cell_length_c 6.3903
_cell_angle_alpha 90.00
_cell_angle_beta 90.00
_cell_angle_gamma 90.00
loop_
_atom_site_label
_atom_site_type_symbol
_atom_site_fract_x
_atom_site_fract_y
_atom_site_fract_z
Er1 Er 0.0000 0.0000 0.0000
Er2 Er 0.0000 0.5000 0.5000
Er3 Er 0.5000 0.0000 0.5000
Er4 Er 0.5000 0.5000 0.0000
Cd1 Cd 0.0000 0.0000 0.5000
Cd2 Cd 0.0000 0.5000 0.0000
Cd3 Cd 0.5000 0.0000 0.0000
Cd4 Cd 0.5000 0.5000 0.5000
Ni1 Ni 0.2500 0.2500 0.7500
Ni2 Ni 0.2500 0.7500 0.2500
Ni3 Ni 0.7500 0.2500 0.2500
Ni4 Ni 0.7500 0.7500 0.7500
# Crystal system: cubic
# Volume (Å³ per cell): 261

2.
# GGA-PBE ErCdNi, optimized geometry
data_ErCdNi
_chemical_formula_sum 'Er4 Cd4 Ni4'
_symmetry_space_group_name_H-M 'P 1'
_symmetry_Int_Tables_number 1
_symmetry_space_group_name_Hall 'P 1'
_cell_length_a 6.5705
_cell_length_b 6.5705
_cell_length_c 6.5705
_cell_angle_alpha 90.00
_cell_angle_beta 90.00
_cell_angle_gamma 90.00
loop_
_atom_site_label
_atom_site_type_symbol
_atom_site_fract_x
_atom_site_fract_y
_atom_site_fract_z
Er1 Er 0.0000 0.0000 0.0000
Er2 Er 0.0000 0.5000 0.5000
Er3 Er 0.5000 0.0000 0.5000
Er4 Er 0.5000 0.5000 0.0000
Cd1 Cd 0.2500 0.2500 0.7500
Cd2 Cd 0.2500 0.7500 0.2500
Cd3 Cd 0.7500 0.2500 0.2500
Cd4 Cd 0.7500 0.7500 0.7500
Ni1 Ni 0.2500 0.2500 0.2500
Ni2 Ni 0.2500 0.7500 0.7500
Ni3 Ni 0.7500 0.2500 0.7500
Ni4 Ni 0.7500 0.7500 0.2500
# Crystal system: cubic
# Volume (Å³ per cell): 284

3.
# GGA-PBE Er3CdNi8, optimized geometry
data_Er3CdNi8
_chemical_formula_sum 'Er3 Cd1 Ni8'
_symmetry_space_group_name_H-M 'P 1'
_symmetry_Int_Tables_number 1
_symmetry_space_group_name_Hall 'P 1'
_cell_length_a 8.6661
_cell_length_b 8.6661
_cell_length_c 8.6661
_cell_angle_alpha 33.43
_cell_angle_beta 33.43
_cell_angle_gamma 33.43
loop_
_atom_site_label
_atom_site_type_symbol
_atom_site_fract_x
_atom_site_fract_y
_atom_site_fract_z
Er1 Er 0.0000 0.0000 0.0000
Er2 Er 0.1281 0.1281 0.1281
Er3 Er 0.6178 0.6178 0.6178
Cd1 Cd 0.4962 0.4962 0.4962
Ni1 Ni 0.0597 0.0597 0.5646
Ni2 Ni 0.0597 0.5646 0.0597
Ni3 Ni 0.0608 0.5603 0.5603
Ni4 Ni 0.3111 0.3111 0.3111
Ni5 Ni 0.5603 0.0608 0.5603
Ni6 Ni 0.5603 0.5603 0.0608
Ni7 Ni 0.5646 0.0597 0.0597
Ni8 Ni 0.8110 0.8110 0.8110
# Crystal system: trigonal
# Volume (Å³ per cell): 176

4.
# GGA-PBE ErCd2O3, optimized geometry
data_ErCd2O3
_chemical_formula_sum 'Er1 Cd2 O3'
_symmetry_space_group_name_H-M 'P 1'
_symmetry_Int_Tables_number 1
_symmetry_space_group_name_Hall 'P 1'
_cell_length_a 3.4234
_cell_length_b 3.4234
_cell_length_c 8.5045
_cell_angle_alpha 90.00
_cell_angle_beta 90.00
_cell_angle_gamma 120.00
loop_
_atom_site_label
_atom_site_type_symbol
_atom_site_fract_x
_atom_site_fract_y
_atom_site_fract_z
Er1 Er 0.0000 0.0000 0.0000
Cd1 Cd 0.3333 0.6667 0.6537
Cd2 Cd 0.6667 0.3333 0.3463
O1 O 0.0000 0.0000 0.5000
O2 O 0.3333 0.6667 0.1302
O3 O 0.6667 0.3333 0.8698
# Crystal system: trigonal
# Volume (Å³ per cell): 86

5.
# GGA-PBE Er2Cd2O5, optimized geometry
data_Er2Cd2O5
_chemical_formula_sum 'Er2 Cd2 O5'
_symmetry_space_group_name_H-M 'P 1'
_symmetry_Int_Tables_number 1
_symmetry_space_group_name_Hall 'P 1'
_cell_length_a 4.1881
_cell_length_b 4.1881
_cell_length_c 7.1982
_cell_angle_alpha 90.00
_cell_angle_beta 90.00
_cell_angle_gamma 90.00
loop_
_atom_site_label
_atom_site_type_symbol
_atom_site_fract_x
_atom_site_fract_y
_atom_site_fract_z
Er1 Er 0.0000 0.0000 0.0000
Er2 Er 0.0000 0.0000 0.5000
Cd1 Cd 0.5000 0.5000 0.2040
Cd2 Cd 0.5000 0.5000 0.7960
O1 O 0.0000 0.5000 0.1937
O2 O 0.0000 0.5000 0.8063
O3 O 0.5000 0.0000 0.1937
O4 O 0.5000 0.0000 0.8063
O5 O 0.5000 0.5000 0.5000
# Crystal system: tetragonal
# Volume (Å³ per cell): 126

6.
# GGA-PBE Er2CdO4, optimized geometry
data_Er2CdO4
_chemical_formula_sum 'Er4 Cd2 O8'
_symmetry_space_group_name_H-M 'P 1'
_symmetry_Int_Tables_number 1
_symmetry_space_group_name_Hall 'P 1'
_cell_length_a 6.6782
_cell_length_b 6.6782
_cell_length_c 6.6782
_cell_angle_alpha 60.00
_cell_angle_beta 60.00
_cell_angle_gamma 60.00
loop_
_atom_site_label
_atom_site_type_symbol
_atom_site_fract_x
_atom_site_fract_y
_atom_site_fract_z
Er1 Er 0.0000 0.0000 0.0000
Er2 Er 0.0000 0.0000 0.5000
Er3 Er 0.0000 0.5000 0.0000
Er4 Er 0.5000 0.0000 0.0000
Cd1 Cd 0.3750 0.3750 0.3750
Cd2 Cd 0.6250 0.6250 0.6250
O1 O 0.2121 0.7626 0.7626
O2 O 0.2374 0.2374 0.2374
O3 O 0.2374 0.2374 0.7879
O4 O 0.2374 0.7879 0.2374
O5 O 0.7626 0.2121 0.7626
O6 O 0.7626 0.7626 0.2121
O7 O 0.7626 0.7626 0.7626
O8 O 0.7879 0.2374 0.2374
# Crystal system: cubic
# Volume (Å³ per cell): 211

7.
# GGA-PBE Er2Cd2O5, optimized geometry
data_Er2Cd2O5
_chemical_formula_sum 'Er2 Cd2 O5'
_symmetry_space_group_name_H-M 'P 1'
_symmetry_Int_Tables_number 1
_symmetry_space_group_name_Hall 'P 1'
_cell_length_a 4.0918
_cell_length_b 4.0918
_cell_length_c 8.3479
_cell_angle_alpha 90.00
_cell_angle_beta 90.00
_cell_angle_gamma 90.00
loop_
_atom_site_label
_atom_site_type_symbol
_atom_site_fract_x
_atom_site_fract_y
_atom_site_fract_z
Er1 Er 0.0000 0.0000 0.2428
Er2 Er 0.0000 0.0000 0.7572
Cd1 Cd 0.5000 0.5000 0.0000
Cd2 Cd 0.5000 0.5000 0.5000
O1 O 0.0000 0.0000 0.5000
O2 O 0.0000 0.5000 0.1690
O3 O 0.0000 0.5000 0.8310
O4 O 0.5000 0.0000 0.1690
O5 O 0.5000 0.0000 0.8310
# Crystal system: tetragonal
# Volume (Å³ per cell): 140

8.
# GGA-PBE ErCdPO, optimized geometry
data_ErCdPO
_chemical_formula_sum 'Er2 Cd2 P2 O2'
_symmetry_space_group_name_H-M 'P 1'
_symmetry_Int_Tables_number 1
_symmetry_space_group_name_Hall 'P 1'
_cell_length_a 3.9382
_cell_length_b 6.1432
_cell_length_c 6.5512
_cell_angle_alpha 90.00
_cell_angle_beta 90.00
_cell_angle_gamma 90.00
loop_
_atom_site_label
_atom_site_type_symbol
_atom_site_fract_x
_atom_site_fract_y
_atom_site_fract_z
Er1 Er 0.0000 0.0332 0.0000
Er2 Er 0.0000 0.9668 0.5000
Cd1 Cd 0.5000 0.4089 0.3762
Cd2 Cd 0.5000 0.5911 0.8762
P1 P 0.5000 0.2080 0.7354
P2 P 0.5000 0.7920 0.2354
O1 O 0.0000 0.2328 0.2723
O2 O 0.0000 0.7672 0.7723
# Crystal system: orthorhombic
# Volume (Å³ per cell): 158

So what do the calculations give for size of the total moment? Going down the list: 0.00, 0.00, 0.00, 0.00, 0.00, 0.00, 0.00, 0.00 μB/atom.
So what do the calculations give for VASP energy? Going down the list: -3.92, -3.34, -5.36, -5.34, -5.58, -7.11, -5.97, -5.45 eV/atom.